# TmCuPd5

TmCuPd5 after structural relaxation (GGA-PBE, Alexandria via LeMat-Bulk). Values from VASP.

Structure (Quantum ESPRESSO input):
```
&SYSTEM
  ibrav = 0, nat = 14, ntyp = 3
/
ATOMIC_SPECIES
Tm 168.93 Tm.upf
Cu 63.55 Cu.upf
Pd 106.42 Pd.upf
ATOMIC_POSITIONS crystal
Tm 0.494 0.244 0.250
Tm 0.506 0.756 0.750
Cu 0.000 0.000 0.000
Cu 0.500 0.000 0.500
Pd 0.008 0.758 0.250
Pd 0.117 0.258 0.384
Pd 0.117 0.733 0.859
Pd 0.373 0.258 0.641
Pd 0.373 0.733 0.116
Pd 0.627 0.267 0.884
Pd 0.627 0.742 0.359
Pd 0.883 0.267 0.141
Pd 0.883 0.742 0.616
Pd 0.992 0.242 0.750
CELL_PARAMETERS angstrom
-4.159 5.401 2.787
4.159 -5.401 2.787
4.159 5.401 -2.787
```

Values from the calculation:
DOS(E_F) ... 8.83 states/eV per cell
Polymorph energy (0 for the lowest one) ... 157 meV per atom
Symmetry ... Imma
Final energy ... -5.192 eV/atom
Formation energy from the elements ... -0.2590 eV/atom

# LiZrGe3

LiZrGe3 after structural relaxation (GGA-PBE, Alexandria via LeMat-Bulk). Values from VASP.

Structure (Quantum ESPRESSO input):
```
&SYSTEM
  ibrav = 0, nat = 5, ntyp = 3
/
ATOMIC_SPECIES
Li 6.94 Li.upf
Zr 91.22 Zr.upf
Ge 72.64 Ge.upf
ATOMIC_POSITIONS crystal
Li 0.000 0.000 0.000
Zr 0.500 0.500 0.500
Ge 0.000 0.000 0.500
Ge 0.000 0.500 0.000
Ge 0.500 0.000 0.000
CELL_PARAMETERS angstrom
4.521 0.000 0.000
0.000 4.521 0.000
0.000 0.000 4.521
```

Values from the calculation:
DOS(E_F) ... 3.01 states/eV per cell
Polymorph energy (0 for the lowest one) ... 49 meV per atom
Symmetry ... Pm-3m
Final energy ... -4.566 eV/atom
Formation energy from the elements ... 0.2964 eV/atom

# CdAu

CdAu after structural relaxation (GGA-PBE, Alexandria via LeMat-Bulk). Values from VASP.

Structure (Quantum ESPRESSO input):
```
&SYSTEM
  ibrav = 0, nat = 4, ntyp = 2
/
ATOMIC_SPECIES
Cd 112.41 Cd.upf
Au 196.97 Au.upf
ATOMIC_POSITIONS crystal
Cd 0.119 0.119 0.119
Cd 0.881 0.881 0.881
Au 0.373 0.373 0.373
Au 0.627 0.627 0.627
CELL_PARAMETERS angstrom
1.518 0.876 10.006
-1.518 0.876 10.006
0.000 -1.753 10.006
```

Values from the calculation:
DOS(E_F) ... 1.32 states/eV per cell
Symmetry ... R-3m
Final energy ... -2.121 eV/atom
Formation energy from the elements ... -0.0250 eV/atom

# HoHf2Ga7

HoHf2Ga7 after structural relaxation (GGA-PBE, Alexandria via LeMat-Bulk). Values from VASP.

Structure (Quantum ESPRESSO input):
```
&SYSTEM
  ibrav = 0, nat = 10, ntyp = 3
/
ATOMIC_SPECIES
Ho 164.93 Ho.upf
Hf 178.49 Hf.upf
Ga 69.72 Ga.upf
ATOMIC_POSITIONS crystal
Ho 0.000 0.000 0.000
Hf 0.277 0.723 0.500
Hf 0.723 0.277 0.500
Ga 0.087 0.291 0.500
Ga 0.291 0.087 0.500
Ga 0.393 0.607 0.000
Ga 0.500 0.500 0.500
Ga 0.607 0.393 0.000
Ga 0.709 0.913 0.500
Ga 0.913 0.709 0.500
CELL_PARAMETERS angstrom
3.616 -6.704 0.000
3.616 6.704 0.000
0.000 0.000 4.643
```

Values from the calculation:
DOS(E_F) ... 5.18 states/eV per cell
Symmetry ... Cmmm
Final energy ... -4.571 eV/atom
Formation energy from the elements ... -0.0040 eV/atom

# Th2SeN

Th2SeN after structural relaxation (GGA-PBE, Alexandria via LeMat-Bulk). Values from VASP.

Structure (Quantum ESPRESSO input):
```
&SYSTEM
  ibrav = 0, nat = 8, ntyp = 3
/
ATOMIC_SPECIES
Th 232.04 Th.upf
Se 78.96 Se.upf
N 14.01 N.upf
ATOMIC_POSITIONS crystal
Th 0.333 0.667 0.099
Th 0.333 0.667 0.401
Th 0.667 0.333 0.599
Th 0.667 0.333 0.901
Se 0.333 0.667 0.750
Se 0.667 0.333 0.250
N 0.000 0.000 0.000
N 0.000 0.000 0.500
CELL_PARAMETERS angstrom
3.767 0.000 0.000
-1.884 3.263 0.000
0.000 0.000 14.138
```

Values from the calculation:
DOS(E_F) ... 6.31 states/eV per cell
Raw formation energy ... -1.509 eV/atom
Polymorph energy (0 for the lowest one) ... 27 meV per atom
Symmetry ... P6_3/mmc
Final energy ... -8.172 eV/atom

# LaAlPb2Au

LaAlPb2Au after structural relaxation (GGA-PBE, Alexandria via LeMat-Bulk). Values from VASP.

Structure (Quantum ESPRESSO input):
```
&SYSTEM
  ibrav = 0, nat = 5, ntyp = 4
/
ATOMIC_SPECIES
La 138.91 La.upf
Al 26.98 Al.upf
Pb 207.20 Pb.upf
Au 196.97 Au.upf
ATOMIC_POSITIONS crystal
La 0.000 0.000 0.000
Al 0.500 0.500 0.500
Pb 0.000 0.500 0.000
Pb 0.500 0.000 0.000
Au 0.000 0.000 0.500
CELL_PARAMETERS angstrom
6.194 0.000 0.000
0.000 6.194 0.000
0.000 0.000 5.525
```

Values from the calculation:
DOS(E_F) ... 3.91 states/eV per cell
Symmetry ... P4/mmm
Final energy ... -3.160 eV/atom
Formation energy from the elements ... 0.7132 eV/atom

# Ce2PuGa3Pt4

Ce2PuGa3Pt4 after structural relaxation (GGA-PBE, Alexandria via LeMat-Bulk). Values from VASP.

Structure (Quantum ESPRESSO input):
```
&SYSTEM
  ibrav = 0, nat = 10, ntyp = 4
/
ATOMIC_SPECIES
Ce 140.12 Ce.upf
Pu 244.00 Pu.upf
Ga 69.72 Ga.upf
Pt 195.08 Pt.upf
ATOMIC_POSITIONS crystal
Ce 0.000 0.500 0.233
Ce 0.500 0.000 0.767
Pu 0.000 0.000 0.500
Ga 0.000 0.500 0.880
Ga 0.500 0.000 0.120
Ga 0.500 0.500 0.500
Pt 0.000 0.000 0.000
Pt 0.000 0.500 0.657
Pt 0.500 0.000 0.343
Pt 0.500 0.500 0.000
CELL_PARAMETERS angstrom
4.334 0.000 0.000
0.000 4.334 0.000
0.000 0.000 11.059
```

Values from the calculation:
DOS(E_F) ... 19.97 states/eV per cell
Symmetry ... P-4m2
Final energy ... -6.783 eV/atom
Formation energy from the elements ... -0.8389 eV/atom

# Cs2KAuS

Cs2KAuS after structural relaxation (GGA-PBE, Alexandria via LeMat-Bulk). Values from VASP.

Structure (Quantum ESPRESSO input):
```
&SYSTEM
  ibrav = 0, nat = 5, ntyp = 4
/
ATOMIC_SPECIES
Cs 132.91 Cs.upf
K 39.10 K.upf
Au 196.97 Au.upf
S 32.06 S.upf
ATOMIC_POSITIONS crystal
Cs 0.000 0.500 0.000
Cs 0.500 0.000 0.000
K 0.000 0.000 0.500
Au 0.500 0.500 0.500
S 0.000 0.000 0.000
CELL_PARAMETERS angstrom
6.718 0.000 0.000
0.000 6.718 0.000
0.000 0.000 5.961
```

Values from the calculation:
Raw formation energy ... -0.633 eV/atom
Symmetry ... P4/mmm
Final energy ... -2.675 eV/atom

# LiNbIn2

LiNbIn2 after structural relaxation (GGA-PBE, Alexandria via LeMat-Bulk). Values from VASP.

Structure (Quantum ESPRESSO input):
```
&SYSTEM
  ibrav = 0, nat = 8, ntyp = 3
/
ATOMIC_SPECIES
Li 6.94 Li.upf
Nb 92.91 Nb.upf
In 114.82 In.upf
ATOMIC_POSITIONS crystal
Li 0.000 0.000 0.000
Li 0.750 0.250 0.500
Nb 0.250 0.750 0.500
Nb 0.500 0.500 0.000
In 0.125 0.625 0.000
In 0.375 0.375 0.500
In 0.625 0.125 0.000
In 0.875 0.875 0.500
CELL_PARAMETERS angstrom
-2.145 2.145 9.692
2.145 -2.145 9.692
2.145 2.145 -9.692
```

Values from the calculation:
DOS(E_F) ... 0.54 states/eV per cell
Polymorph energy (0 for the lowest one) ... 605 meV per atom
Symmetry ... I-42d
Final energy ... -3.855 eV/atom
Formation energy from the elements ... 0.5104 eV/atom

# Sn3MoSe

Sn3MoSe after structural relaxation (GGA-PBE, Alexandria via LeMat-Bulk). Values from VASP.

Structure (Quantum ESPRESSO input):
```
&SYSTEM
  ibrav = 0, nat = 5, ntyp = 3
/
ATOMIC_SPECIES
Sn 118.71 Sn.upf
Mo 95.94 Mo.upf
Se 78.96 Se.upf
ATOMIC_POSITIONS crystal
Sn 0.000 0.000 0.500
Sn 0.000 0.500 0.000
Sn 0.500 0.000 0.000
Mo 0.000 0.000 0.000
Se 0.500 0.500 0.500
CELL_PARAMETERS angstrom
5.270 0.000 0.000
0.000 5.270 0.000
0.000 0.000 5.270
```

Values from the calculation:
DOS(E_F) ... 4.72 states/eV per cell
Raw formation energy ... 0.371 eV/atom
Polymorph energy (0 for the lowest one) ... 0 meV per atom
Symmetry ... Pm-3m
Final energy ... -4.894 eV/atom

# TlCdF3

TlCdF3 after structural relaxation (GGA-PBE, Alexandria via LeMat-Bulk). Values from VASP.

Structure (Quantum ESPRESSO input):
```
&SYSTEM
  ibrav = 0, nat = 5, ntyp = 3
/
ATOMIC_SPECIES
Tl 204.38 Tl.upf
Cd 112.41 Cd.upf
F 19.00 F.upf
ATOMIC_POSITIONS crystal
Tl 0.000 0.000 0.000
Cd 0.766 0.766 0.766
F 0.424 0.933 0.933
F 0.933 0.424 0.933
F 0.933 0.933 0.424
CELL_PARAMETERS angstrom
3.577 2.065 4.135
-3.577 2.065 4.135
0.000 -4.130 4.135
```

Values from the calculation:
DOS(E_F) ... 0.00 states/eV per cell
Raw formation energy ... -1.769 eV/atom
Symmetry ... R3m
Final energy ... -3.548 eV/atom

# AsIr4

AsIr4 after structural relaxation (GGA-PBE, Alexandria via LeMat-Bulk). Values from VASP.

Structure (Quantum ESPRESSO input):
```
&SYSTEM
  ibrav = 0, nat = 5, ntyp = 2
/
ATOMIC_SPECIES
As 74.92 As.upf
Ir 192.22 Ir.upf
ATOMIC_POSITIONS crystal
As 0.000 0.000 0.000
Ir 0.250 0.750 0.500
Ir 0.400 0.400 0.000
Ir 0.600 0.600 0.000
Ir 0.750 0.250 0.500
CELL_PARAMETERS angstrom
-1.821 1.821 6.361
1.821 -1.821 6.361
1.821 1.821 -6.361
```

Values from the calculation:
DOS(E_F) ... 5.40 states/eV per cell
Polymorph energy (0 for the lowest one) ... 262 meV per atom
Symmetry ... I4/mmm
Final energy ... -7.523 eV/atom
Formation energy from the elements ... 0.4957 eV/atom

# Cs2Sn2Pb

Cs2Sn2Pb after structural relaxation (GGA-PBE, Alexandria via LeMat-Bulk). Values from VASP.

Structure (Quantum ESPRESSO input):
```
&SYSTEM
  ibrav = 0, nat = 10, ntyp = 3
/
ATOMIC_SPECIES
Cs 132.91 Cs.upf
Sn 118.71 Sn.upf
Pb 207.20 Pb.upf
ATOMIC_POSITIONS crystal
Cs 0.006 0.283 0.135
Cs 0.283 0.006 0.635
Cs 0.717 0.994 0.365
Cs 0.994 0.717 0.865
Sn 0.204 0.501 0.493
Sn 0.499 0.796 0.007
Sn 0.501 0.204 0.993
Sn 0.796 0.499 0.507
Pb 0.443 0.557 0.250
Pb 0.557 0.443 0.750
CELL_PARAMETERS angstrom
5.941 -4.013 0.000
5.941 4.013 0.000
-2.072 0.000 9.539
```

Values from the calculation:
DOS(E_F) ... 6.30 states/eV per cell
Polymorph energy (0 for the lowest one) ... 0 meV per atom
Symmetry ... C2/c
Final energy ... -2.805 eV/atom
Formation energy from the elements ... -0.1209 eV/atom

# IrRh2Cl

IrRh2Cl after structural relaxation (GGA-PBE, Alexandria via LeMat-Bulk). Values from VASP.

Structure (Quantum ESPRESSO input):
```
&SYSTEM
  ibrav = 0, nat = 4, ntyp = 3
/
ATOMIC_SPECIES
Ir 192.22 Ir.upf
Rh 102.91 Rh.upf
Cl 35.45 Cl.upf
ATOMIC_POSITIONS crystal
Ir 0.000 0.000 0.000
Rh 0.250 0.250 0.250
Rh 0.750 0.750 0.750
Cl 0.500 0.500 0.500
CELL_PARAMETERS angstrom
0.000 3.119 3.119
3.119 0.000 3.119
3.119 3.119 0.000
```

Values from the calculation:
DOS(E_F) ... 3.51 states/eV per cell
Raw formation energy ... 0.756 eV/atom
Polymorph energy (0 for the lowest one) ... 482 meV per atom
Symmetry ... Fm-3m
Final energy ... -5.597 eV/atom

# CrReOs2

CrReOs2 after structural relaxation (GGA-PBE, Alexandria via LeMat-Bulk). Values from VASP.

Structure (Quantum ESPRESSO input):
```
&SYSTEM
  ibrav = 0, nat = 4, ntyp = 3
/
ATOMIC_SPECIES
Cr 52.00 Cr.upf
Re 186.21 Re.upf
Os 190.23 Os.upf
ATOMIC_POSITIONS crystal
Cr 0.000 0.000 0.000
Re 0.000 0.000 0.500
Os 0.500 0.500 0.238
Os 0.500 0.500 0.762
CELL_PARAMETERS angstrom
2.719 0.000 0.000
0.000 2.719 0.000
0.000 0.000 7.538
```

Values from the calculation:
DOS(E_F) ... 3.85 states/eV per cell
Polymorph energy (0 for the lowest one) ... 8 meV per atom
Symmetry ... P4/mmm
Final energy ... -11.050 eV/atom
Formation energy from the elements ... 0.0823 eV/atom

# BaPuBrO2

BaPuBrO2 after structural relaxation (GGA-PBE, Alexandria via LeMat-Bulk). Values from VASP.

Structure (Quantum ESPRESSO input):
```
&SYSTEM
  ibrav = 0, nat = 10, ntyp = 4
/
ATOMIC_SPECIES
Ba 137.33 Ba.upf
Pu 244.00 Pu.upf
Br 79.90 Br.upf
O 16.00 O.upf
ATOMIC_POSITIONS crystal
Ba 0.185 0.250 0.439
Ba 0.815 0.750 0.561
Pu 0.143 0.250 0.931
Pu 0.857 0.750 0.069
Br 0.474 0.750 0.752
Br 0.526 0.250 0.248
O 0.002 0.250 0.656
O 0.058 0.750 0.925
O 0.942 0.250 0.075
O 0.998 0.750 0.344
CELL_PARAMETERS angstrom
7.618 0.000 0.000
0.000 4.396 0.000
-2.960 0.000 7.733
```

Values from the calculation:
DOS(E_F) ... 13.02 states/eV per cell
Raw formation energy ... -2.615 eV/atom
Symmetry ... P2_1/m
Final energy ... -8.183 eV/atom

# ZnAs2Pb2O6

ZnAs2Pb2O6 after structural relaxation (GGA-PBE, Alexandria via LeMat-Bulk). Values from VASP.

Structure (Quantum ESPRESSO input):
```
&SYSTEM
  ibrav = 0, nat = 11, ntyp = 4
/
ATOMIC_SPECIES
Zn 65.41 Zn.upf
As 74.92 As.upf
Pb 207.20 Pb.upf
O 16.00 O.upf
ATOMIC_POSITIONS crystal
Zn 0.000 0.000 0.000
As 0.421 0.421 0.254
As 0.579 0.579 0.746
Pb 0.269 0.269 0.767
Pb 0.731 0.731 0.233
O 0.132 0.635 0.073
O 0.293 0.293 0.372
O 0.365 0.868 0.927
O 0.635 0.132 0.073
O 0.707 0.707 0.628
O 0.868 0.365 0.927
CELL_PARAMETERS angstrom
5.820 -2.723 0.000
5.820 2.723 0.000
-0.722 0.000 6.508
```

Values from the calculation:
DOS(E_F) ... 0.00 states/eV per cell
Raw formation energy ... -1.203 eV/atom
Symmetry ... C2/m
Final energy ... -5.543 eV/atom